Entry 1:
The following is a PBE-GGA calculation of a geometry-optimized Al2ReMo structure, from OQMD via LeMat-Bulk.

extended XYZ file:
```
4
Lattice="0.000 3.091 3.091 3.091 0.000 3.091 3.091 3.091 0.000" Properties=species:S:1:pos:R:3 pbc="T T T"
Al 0.000 0.000 0.000
Al 1.545 1.545 1.545
Mo 3.091 3.091 3.091
Re 4.636 4.636 4.636
```

Summary:
E_tot	-31.47	eV per cell
magnetic moment	0.0	μB/cell


Entry 2:
The following is a PBE-GGA calculation of a geometry-optimized Al2NiIr structure, from OQMD via LeMat-Bulk.

extended XYZ file:
```
4
Lattice="0.000 2.996 2.996 2.996 0.000 2.996 2.996 2.996 0.000" Properties=species:S:1:pos:R:3 pbc="T T T"
Al 0.000 0.000 0.000
Al 1.498 1.498 1.498
Ir 2.996 2.996 2.996
Ni 4.495 4.495 4.495
```

Summary:
E_tot	-23.49	eV per cell
magnetic moment	0.0	μB/cell


Entry 3:
The following is a PBE-GGA calculation of a geometry-optimized TaMoS4 structure, from OQMD via LeMat-Bulk.

extended XYZ file:
```
6
Lattice="3.272 0.000 0.000 0.000 10.387 2.837 0.000 -10.387 2.837" Properties=species:S:1:pos:R:3 pbc="T T T"
Mo 0.000 0.000 0.020
S 0.000 1.560 1.887
S 0.000 -1.560 1.887
S 1.636 1.540 4.766
S 1.636 -1.540 4.766
Ta 1.636 0.000 2.836
```

Summary:
E_tot	-44.89	eV per cell
magnetic moment	0.0	μB/cell
relative energy among the computed polymorphs	0.0033	eV/atom


Entry 4:
The following is a PBE-GGA calculation of a geometry-optimized ZrPb2F8 structure, from OQMD via LeMat-Bulk.

extended XYZ file:
```
44
Lattice="9.371 0.000 0.000 0.000 5.304 0.000 0.000 0.000 11.456" Properties=species:S:1:pos:R:3 pbc="T T T"
F 8.131 0.008 0.393
F 8.131 2.644 0.393
F 3.181 1.326 0.444
F 5.492 0.088 1.509
F 5.492 2.564 1.509
F 1.253 3.978 2.147
F 7.958 0.012 2.841
F 7.958 2.640 2.841
F 3.273 0.012 2.887
F 3.273 2.640 2.887
F 5.939 3.978 3.581
F 0.806 0.088 4.219
F 0.806 2.564 4.219
F 7.867 1.326 5.284
F 3.445 0.008 5.335
F 3.445 2.644 5.335
F 5.926 2.660 6.121
F 5.926 5.296 6.121
F 1.505 3.978 6.172
F 8.565 2.740 7.238
F 8.565 5.216 7.238
F 3.432 1.326 7.875
F 6.098 2.664 8.569
F 6.098 5.293 8.569
F 1.413 2.664 8.615
F 1.413 5.293 8.615
F 8.118 1.326 9.309
F 3.880 2.740 9.947
F 3.880 5.216 9.947
F 6.190 3.978 11.012
F 1.240 2.660 11.063
F 1.240 5.296 11.063
Pb 3.336 3.978 0.741
Pb 0.478 1.326 1.841
Pb 5.164 1.326 3.888
Pb 8.022 3.978 4.987
Pb 1.349 1.326 6.469
Pb 4.208 3.978 7.569
Pb 8.893 3.978 9.616
Pb 6.035 1.326 10.715
Zr 6.992 3.978 1.567
Zr 2.306 3.978 4.161
Zr 7.065 1.326 7.295
Zr 2.380 1.326 9.889
```

Summary:
E_tot	-253.16	eV per cell
magnetic moment	0.0	μB/cell
relative energy among the computed polymorphs	0.0000	eV/atom


Entry 5:
The following is a PBE-GGA calculation of a geometry-optimized Ge2Pt5 structure, from OQMD via LeMat-Bulk.

extended XYZ file:
```
14
Lattice="5.475 -2.826 0.000 5.475 2.826 0.000 -0.756 0.000 7.499" Properties=species:S:1:pos:R:3 pbc="T T T"
Ge 3.461 0.564 1.748
Ge 7.111 0.564 2.001
Ge 3.084 -0.564 5.497
Ge 6.733 -0.564 5.751
Pt 4.112 -1.401 0.331
Pt 6.872 -1.509 0.581
Pt 5.286 2.288 1.875
Pt 3.700 -1.509 3.169
Pt 6.461 -1.401 3.419
Pt 3.734 1.401 4.080
Pt 6.494 1.509 4.330
Pt 4.908 -2.288 5.624
Pt 3.322 1.509 6.918
Pt 6.083 1.401 7.168
```

Summary:
E_tot	-83.83	eV per cell
magnetic moment	0.0	μB/cell


Entry 6:
The following is a PBE-GGA calculation of a geometry-optimized NaCoAgSeS2 structure, from OQMD via LeMat-Bulk.

extended XYZ file:
```
12
Lattice="-4.734 -0.458 -5.685 2.562 -1.936 6.680 -5.593 6.781 4.111" Properties=species:S:1:pos:R:3 pbc="T T T"
Ag -5.375 1.084 -3.374
Ag -2.390 3.303 8.480
Co -1.086 -1.197 0.498
Co -3.882 2.193 2.553
Na -0.461 0.088 4.953
Na -7.303 4.298 0.153
S -3.994 -0.571 -4.341
S -6.717 2.730 -2.340
S -1.048 1.657 7.446
S -3.770 4.957 9.447
Se -2.879 0.578 0.857
Se -4.886 3.809 4.249
```

Summary:
E_tot	-49.04	eV per cell
magnetic moment	0.0	μB/cell


Entry 7:
The following is a PBE-GGA calculation of a geometry-optimized Li2Pt3Se4 structure, from OQMD via LeMat-Bulk.

extended XYZ file:
```
18
Lattice="5.340 0.000 0.000 0.000 10.541 0.000 -2.383 0.000 5.967" Properties=species:S:1:pos:R:3 pbc="T T T"
Pt 2.889 1.373 3.141
Pt -1.123 6.643 5.810
Se 1.959 8.533 1.324
Se -0.426 5.834 1.464
Se 4.575 0.563 1.520
Se 2.190 3.263 1.660
Se 0.767 7.278 4.307
Se -1.617 9.978 4.448
Se 3.383 4.707 4.503
Se 0.999 2.008 4.644
Li 4.640 8.468 0.223
Li -0.491 3.197 2.761
Li 3.448 7.344 3.206
Li -1.682 2.073 5.745
Pt 2.670 0.000 0.000
Pt 4.080 3.898 0.157
Pt 0.069 9.168 2.827
Pt 1.479 5.270 2.984
```

Summary:
E_tot	-83.47	eV per cell
magnetic moment	0.0	μB/cell


Entry 8:
The following is a PBE-GGA calculation of a geometry-optimized HoI3 structure, from OQMD via LeMat-Bulk.

extended XYZ file:
```
8
Lattice="3.742 2.160 6.848 -3.742 2.160 6.848 0.000 -4.321 6.848" Properties=species:S:1:pos:R:3 pbc="T T T"
Ho 0.000 0.000 0.000
Ho 0.000 0.000 10.272
I -1.249 2.158 8.560
I 1.244 2.160 11.984
I 2.493 0.002 8.560
I -2.493 -0.002 11.984
I -1.244 -2.160 8.560
I 1.249 -2.158 11.984
```

Summary:
E_tot	-28.96	eV per cell
magnetic moment	0.0	μB/cell


Entry 9:
The following is a PBE-GGA calculation of a geometry-optimized SmNi3P2 structure, from OQMD via LeMat-Bulk.

extended XYZ file:
```
6
Lattice="-1.101 -1.122 -3.547 1.701 -2.534 2.395 -5.832 -1.696 2.347" Properties=species:S:1:pos:R:3 pbc="T T T"
Ni -1.210 -2.638 1.210
Ni -2.916 -0.848 1.174
Ni -4.023 -2.714 -0.014
P -1.880 -2.091 -0.877
P -3.352 -3.261 2.072
Sm 0.000 0.000 0.000
```

Summary:
E_tot	-37.29	eV per cell
magnetic moment	0.0	μB/cell


Entry 10:
The following is a PBE-GGA calculation of a geometry-optimized LiNb3Si5 structure, from OQMD via LeMat-Bulk.

extended XYZ file:
```
9
Lattice="-1.745 3.937 -3.593 -3.707 -3.490 2.352 -0.772 4.102 4.871" Properties=species:S:1:pos:R:3 pbc="T T T"
Li 0.000 0.000 0.000
Nb -1.258 4.020 0.639
Nb -2.239 0.306 3.611
Nb -3.112 2.275 1.815
Si -2.537 2.197 -0.738
Si -3.191 -0.279 1.244
Si -0.386 2.051 2.435
Si -3.032 4.828 2.386
Si -3.686 2.352 4.368
```

Summary:
E_tot	-59.33	eV per cell
magnetic moment	0.0	μB/cell


Entry 11:
The following is a PBE-GGA calculation of a geometry-optimized RbZnSn structure, from OQMD via LeMat-Bulk.

extended XYZ file:
```
3
Lattice="3.877 -3.845 1.481 3.894 1.267 3.904 -0.224 -2.421 5.109" Properties=species:S:1:pos:R:3 pbc="T T T"
Rb 0.000 0.000 0.000
Sn 1.887 -1.250 2.623
Zn 5.660 -3.749 7.870
```

Summary:
E_tot	-4.03	eV per cell
relative energy among the computed polymorphs	0.5014	eV/atom


Entry 12:
The following is a PBE-GGA calculation of a geometry-optimized ZnTc structure, from OQMD via LeMat-Bulk.

extended XYZ file:
```
12
Lattice="-2.725 2.749 -2.050 -6.715 -2.612 5.425 1.056 3.153 2.825" Properties=species:S:1:pos:R:3 pbc="T T T"
Tc -2.569 2.496 -1.826
Tc -2.189 0.740 -0.008
Tc -4.933 0.946 4.156
Tc -0.634 2.685 0.609
Tc -5.347 2.690 2.365
Tc -3.025 3.659 0.415
Zn -4.793 1.686 -0.091
Zn -4.514 -0.039 1.731
Zn -7.140 0.843 1.727
Zn -6.760 -0.984 3.624
Zn -2.834 1.782 2.439
Zn -7.474 1.881 4.062
```

Summary:
ΔE_f	0.0407	eV/atom
E_tot	-69.26	eV per cell
magnetic moment	0.0	μB/cell
relative energy among the computed polymorphs	0.0712	eV/atom


- The lowest E_tot belongs to which entry?
  ZrPb2F8


- The highest E_tot belongs to which entry?
  RbZnSn


- What is the E_tot in the third record?
  -44.89 eV per cell